# BaAlCl2

BaAlCl2 after structural relaxation (GGA-PBE, the Alexandria database).

Excess energy over the best structure of this formula in the dataset: 65.1 meV per atom
E: -3.495 eV/atom
Size of the total moment: 0.0 μB per cell

POSCAR file:
```
BaAlCl2
1.0
3.779 0.000 0.000
0.000 3.779 0.000
0.000 0.000 10.217
Cl Ba Al
2 1 1
direct
0.000 0.000 0.583 Cl
0.000 0.000 0.917 Cl
0.500 0.500 0.750 Ba
0.500 0.500 0.250 Al
```